[1]
The following is a DFT calculation (PBEsol) of a relaxed Mg2MnTl crystal.

Summary:
Electronic total energy   -3.68 eV/atom

Cell: 4.825 4.825 4.825 Å, 60.00 60.00 60.00°
Atoms (fractional coordinates):
Mg  0.250  0.250  0.250
Mg  0.750  0.750  0.750
Mn  0.000  0.000  0.000
Tl  0.500  0.500  0.500

***

[2]
The following is a DFT calculation (PBEsol) of a relaxed In2PtRh crystal.

Summary:
Electronic total energy   -5.68 eV/atom

Cell: 4.268 4.268 3.666 Å, 90.00 90.00 90.00°
Atoms (fractional coordinates):
In  0.000  0.500  0.000
In  0.500  0.000  0.000
Pt  0.000  0.000  0.500
Rh  0.500  0.500  0.500

***

[3]
The following is a DFT calculation (PBEsol) of a relaxed Li3SbAu crystal.

Summary:
Electronic total energy   -3.05 eV/atom
Formation energy (no corrections)   -85 kJ/mol of formula units

Cell: 4.707 4.707 4.707 Å, 90.00 90.00 90.00°
Atoms (fractional coordinates):
Li  0.000  0.000  0.500
Li  0.000  0.500  0.000
Li  0.500  0.000  0.000
Sb  0.500  0.500  0.500
Au  0.000  0.000  0.000

***

[4]
The following is a DFT calculation (PBEsol) of a relaxed Fe3Co5 crystal.

Summary:
Electronic total energy   -8.15 eV/atom

Cell: 4.597 4.597 5.636 Å, 107.84 107.84 50.35°
Atoms (fractional coordinates):
Fe  0.000  0.000  0.000
Fe  0.247  0.247  0.872
Fe  0.501  0.501  0.254
Co  0.252  0.252  0.372
Co  0.493  0.493  0.754
Co  0.748  0.748  0.626
Co  0.750  0.750  0.119
Co  0.998  0.998  0.498

***

[5]
The following is a DFT calculation (PBEsol) of a relaxed LiSc crystal.

Summary:
Electronic total energy   -4.08 eV/atom
ΔE to the lowest computed polymorph   115 meV/atom

Cell: 3.024 4.761 6.136 Å, 90.00 104.28 90.00°
Atoms (fractional coordinates):
Li  0.015  0.250  0.129
Li  0.985  0.750  0.871
Sc  0.327  0.250  0.636
Sc  0.673  0.750  0.364

***

[6]
The following is a DFT calculation (PBEsol) of a relaxed K3BeF5 crystal.

Summary:
Electronic total energy   -4.90 eV/atom
Formation energy (no corrections)   -2612 kJ/mol of formula units

Cell: 7.339 7.339 7.339 Å, 122.37 122.37 85.94°
Atoms (fractional coordinates):
K  0.180  0.680  0.859
K  0.250  0.250  0.000
K  0.320  0.180  0.500
K  0.680  0.820  0.500
K  0.750  0.750  0.000
K  0.820  0.320  0.141
Be  0.250  0.750  0.500
Be  0.750  0.250  0.500
F  0.000  0.000  0.000
F  0.038  0.789  0.500
F  0.211  0.711  0.249
F  0.289  0.538  0.500
F  0.462  0.962  0.751
F  0.500  0.500  0.000
F  0.538  0.038  0.249
F  0.711  0.462  0.500
F  0.789  0.289  0.751
F  0.962  0.211  0.500

***

Question: What is the electronic total energy in the fourth record?
Answer: -8.15 eV/atom

***

Copy entry 4 word for word.
The following is a DFT calculation (PBEsol) of a relaxed Fe3Co5 crystal.

Summary:
Electronic total energy   -8.15 eV/atom

Cell: 4.597 4.597 5.636 Å, 107.84 107.84 50.35°
Atoms (fractional coordinates):
Fe  0.000  0.000  0.000
Fe  0.247  0.247  0.872
Fe  0.501  0.501  0.254
Co  0.252  0.252  0.372
Co  0.493  0.493  0.754
Co  0.748  0.748  0.626
Co  0.750  0.750  0.119
Co  0.998  0.998  0.498

***

What did the sixth record say?
The following is a DFT calculation (PBEsol) of a relaxed K3BeF5 crystal.

Summary:
Electronic total energy   -4.90 eV/atom
Formation energy (no corrections)   -2612 kJ/mol of formula units

Cell: 7.339 7.339 7.339 Å, 122.37 122.37 85.94°
Atoms (fractional coordinates):
K  0.180  0.680  0.859
K  0.250  0.250  0.000
K  0.320  0.180  0.500
K  0.680  0.820  0.500
K  0.750  0.750  0.000
K  0.820  0.320  0.141
Be  0.250  0.750  0.500
Be  0.750  0.250  0.500
F  0.000  0.000  0.000
F  0.038  0.789  0.500
F  0.211  0.711  0.249
F  0.289  0.538  0.500
F  0.462  0.962  0.751
F  0.500  0.500  0.000
F  0.538  0.038  0.249
F  0.711  0.462  0.500
F  0.789  0.289  0.751
F  0.962  0.211  0.500